# 1
BiSe2Cl | GGA-PBE | relaxed

abc: 10.471 10.471 10.471
angles: 18.28 18.28 18.28
Fractional coordinates of all 4 atoms:
Bi (0.000, 0.000, 0.000)
Se (0.093, 0.093, 0.093)
Se (0.907, 0.907, 0.907)
Cl (0.500, 0.500, 0.500)

Spin magnetization: 0.00 μB/cell
Symmetry: R-3m, No. 166
Calculated total energy: -0.204 Ry per atom
Energy above the lowest structure with this stoichiometry: 324 meV/atom
Theoretical density: 6.8 g/cm3

---

# 2
HoUSe | GGA-PBE | relaxed

abc: 12.268 12.268 12.268
angles: 17.33 17.33 17.33
Fractional coordinates of all 6 atoms:
Ho (0.206, 0.206, 0.206)
Ho (0.794, 0.794, 0.794)
U (0.353, 0.353, 0.353)
U (0.647, 0.647, 0.647)
Se (0.073, 0.073, 0.073)
Se (0.927, 0.927, 0.927)

Spin magnetization: 0.01 μB/cell
Symmetry: R-3m, No. 166
Calculated total energy: -0.544 Ry per atom
Theoretical density: 11.2 g/cm3

---

# 3
Tm2TlCuSe4 | GGA-PBE | relaxed

abc: 7.289 7.289 14.311
angles: 90.00 90.00 147.57
Fractional coordinates of all 16 atoms:
Tm (0.133, 0.867, 0.565)
Tm (0.133, 0.867, 0.935)
Tm (0.867, 0.133, 0.065)
Tm (0.867, 0.133, 0.435)
Tl (0.386, 0.614, 0.750)
Tl (0.614, 0.386, 0.250)
Cu (0.337, 0.663, 0.250)
Cu (0.663, 0.337, 0.750)
Se (0.065, 0.935, 0.750)
Se (0.236, 0.764, 0.109)
Se (0.236, 0.764, 0.391)
Se (0.500, 0.500, 0.000)
Se (0.500, 0.500, 0.500)
Se (0.764, 0.236, 0.609)
Se (0.764, 0.236, 0.891)
Se (0.935, 0.065, 0.250)

Spin magnetization: 0.00 μB/cell
Symmetry: Cmcm, No. 63
Calculated total energy: -0.365 Ry per atom
Theoretical density: 7.5 g/cm3

---

# 4
Na2NbZn2 | GGA-PBE | relaxed

abc: 7.377 7.377 7.377
angles: 150.41 150.41 42.34
Fractional coordinates of all 5 atoms:
Na (0.250, 0.750, 0.500)
Na (0.750, 0.250, 0.500)
Nb (0.000, 0.000, 0.000)
Zn (0.414, 0.414, 0.000)
Zn (0.586, 0.586, 0.000)

Spin magnetization: 0.80 μB/cell
Symmetry: I4/mmm, No. 139
Calculated total energy: -0.186 Ry per atom
Energy above the lowest structure with this stoichiometry: 0 meV/atom
Theoretical density: 4.6 g/cm3

---

# 5
NdTlAgBr6 | GGA-PBE | relaxed

abc: 7.294 7.294 13.994
angles: 90.00 90.00 120.00
Fractional coordinates of all 18 atoms:
Nd (0.333, 0.667, 0.250)
Nd (0.667, 0.333, 0.750)
Tl (0.000, 0.000, 0.000)
Tl (0.000, 0.000, 0.500)
Ag (0.333, 0.667, 0.750)
Ag (0.667, 0.333, 0.250)
Br (0.011, 0.362, 0.633)
Br (0.011, 0.649, 0.867)
Br (0.351, 0.362, 0.867)
Br (0.351, 0.989, 0.633)
Br (0.362, 0.011, 0.133)
Br (0.362, 0.351, 0.367)
Br (0.638, 0.649, 0.633)
Br (0.638, 0.989, 0.867)
Br (0.649, 0.011, 0.367)
Br (0.649, 0.638, 0.133)
Br (0.989, 0.351, 0.133)
Br (0.989, 0.638, 0.367)

Spin magnetization: 0.00 μB/cell
Symmetry: P-31c, No. 163
Calculated total energy: -0.242 Ry per atom
Theoretical density: 4.8 g/cm3

---

# 6
SiH3S | GGA-PBE | relaxed

abc: 4.774 6.047 6.231
angles: 104.62 92.23 110.26
Fractional coordinates of all 10 atoms:
Si (0.000, 0.000, 0.000)
Si (0.021, 0.215, 0.374)
H (0.181, 0.131, 0.529)
H (0.313, 0.036, 0.947)
H (0.427, 0.592, 0.271)
H (0.552, 0.611, 0.765)
H (0.712, 0.177, 0.435)
H (0.849, 0.093, 0.849)
S (0.240, 0.608, 0.430)
S (0.739, 0.612, 0.938)

Spin magnetization: 0.00 μB/cell
Symmetry: P1, No. 1
Calculated total energy: -0.298 Ry per atom
Energy above the lowest structure with this stoichiometry: 0 meV/atom
Theoretical density: 1.3 g/cm3

---

# 7
NaSm2Cd | GGA-PBE | relaxed

abc: 3.857 3.857 8.318
angles: 90.00 90.00 90.00
Fractional coordinates of all 4 atoms:
Na (0.000, 0.000, 0.000)
Sm (0.500, 0.500, 0.284)
Sm (0.500, 0.500, 0.716)
Cd (0.000, 0.000, 0.500)

Spin magnetization: 0.46 μB/cell
Symmetry: P4/mmm, No. 123
Calculated total energy: -0.215 Ry per atom
Energy above the lowest structure with this stoichiometry: 0 meV/atom
Theoretical density: 5.9 g/cm3

---

# 8
Na2YCuS | GGA-PBE | relaxed

abc: 5.275 5.275 4.593
angles: 90.00 90.00 90.00
Fractional coordinates of all 5 atoms:
Na (0.000, 0.500, 0.000)
Na (0.500, 0.000, 0.000)
Y (0.000, 0.000, 0.500)
Cu (0.500, 0.500, 0.500)
S (0.500, 0.500, 0.000)

Spin magnetization: 0.91 μB/cell
Symmetry: P4/mmm, No. 123
Calculated total energy: -0.245 Ry per atom
Theoretical density: 3.0 g/cm3

---

# 9
La2TlIn3 | GGA-PBE | relaxed

abc: 10.271 9.668 6.374
angles: 76.59 66.28 37.13
Fractional coordinates of all 12 atoms:
La (0.247, 0.753, 0.753)
La (0.250, 0.250, 0.250)
La (0.750, 0.750, 0.750)
La (0.753, 0.247, 0.247)
Tl (0.167, 0.167, 0.833)
Tl (0.833, 0.833, 0.167)
In (0.170, 0.665, 0.335)
In (0.335, 0.335, 0.665)
In (0.335, 0.830, 0.170)
In (0.665, 0.170, 0.830)
In (0.665, 0.665, 0.335)
In (0.830, 0.335, 0.665)

Spin magnetization: 0.00 μB/cell
Symmetry: Fmmm, No. 69
Calculated total energy: -0.283 Ry per atom
Energy above the lowest structure with this stoichiometry: 2 meV/atom
Theoretical density: 8.0 g/cm3

---

# 10
DyTh2TlC | GGA-PBE | relaxed

abc: 5.077 5.077 4.991
angles: 90.00 90.00 90.00
Fractional coordinates of all 5 atoms:
Dy (0.000, 0.000, 0.000)
Th (0.000, 0.500, 0.500)
Th (0.500, 0.000, 0.500)
Tl (0.500, 0.500, 0.000)
C (0.000, 0.000, 0.500)

Spin magnetization: 0.00 μB/cell
Symmetry: P4/mmm, No. 123
Calculated total energy: -0.478 Ry per atom
Theoretical density: 10.9 g/cm3

---

# 11
CsYHfS4 | GGA-PBE | relaxed

abc: 6.911 7.053 9.734
angles: 90.00 109.86 90.00
Fractional coordinates of all 14 atoms:
Cs (0.224, 0.250, 0.446)
Cs (0.776, 0.750, 0.554)
Y (0.301, 0.250, 0.955)
Y (0.699, 0.750, 0.045)
Hf (0.248, 0.750, 0.152)
Hf (0.752, 0.250, 0.848)
S (0.005, 0.750, 0.918)
S (0.043, 0.750, 0.305)
S (0.499, 0.000, 0.181)
S (0.499, 0.500, 0.181)
S (0.501, 0.000, 0.819)
S (0.501, 0.500, 0.819)
S (0.957, 0.250, 0.695)
S (0.995, 0.250, 0.082)

Spin magnetization: 0.00 μB/cell
Symmetry: P2_1/m, No. 11
Calculated total energy: -0.477 Ry per atom
Theoretical density: 3.9 g/cm3

---

# 12
Hf2FeB2Ru5 | GGA-PBE | relaxed

abc: 9.311 9.311 3.063
angles: 90.00 90.00 90.00
Fractional coordinates of all 20 atoms:
Hf (0.176, 0.324, 0.000)
Hf (0.324, 0.824, 0.000)
Hf (0.676, 0.176, 0.000)
Hf (0.824, 0.676, 0.000)
Fe (0.000, 0.000, 0.000)
Fe (0.500, 0.500, 0.000)
B (0.124, 0.624, 0.000)
B (0.376, 0.124, 0.000)
B (0.624, 0.876, 0.000)
B (0.876, 0.376, 0.000)
Ru (0.000, 0.500, 0.500)
Ru (0.071, 0.787, 0.500)
Ru (0.213, 0.071, 0.500)
Ru (0.287, 0.571, 0.500)
Ru (0.429, 0.287, 0.500)
Ru (0.500, 0.000, 0.500)
Ru (0.571, 0.713, 0.500)
Ru (0.713, 0.429, 0.500)
Ru (0.787, 0.929, 0.500)
Ru (0.929, 0.213, 0.500)

Spin magnetization: 5.50 μB/cell
Symmetry: P4/mbm, No. 127
Calculated total energy: -0.688 Ry per atom
Theoretical density: 11.8 g/cm3